An optimized crystal structure of Na2BeTlAs2. Source: Alexandria, functional GGA-PBE.

It has space group Ibam (No. 72), with a = 7.086 Å, b = 13.128 Å, c = 6.103 Å, α = 90.00°, β = 90.00° and γ = 90.00°. The inequivalent atoms are Na at (0.207, 0.180, 0.000), Be at (0.000, 0.000, 0.250), Tl at (0.000, 0.500, 0.250) and As at (0.181, 0.101, 0.500).

As for the uncorrected energy: -0.117 Ha/atom. The calculation puts the formation energy at -0.1821 eV/atom. The density of states at the Fermi level comes out at 2.52 states/eV/cell.

=====

An optimized crystal structure of NaBe2ZnAs. Source: Alexandria, functional GGA-PBE.

It has space group P4/mmm (No. 123), with a = 4.293 Å, b = 4.293 Å, c = 5.513 Å, α = 90.00°, β = 90.00° and γ = 90.00°. The inequivalent atoms are Na at (0.000, 0.000, 0.000), Be at (0.000, 0.500, 0.500), Zn at (0.500, 0.500, 0.000) and As at (0.000, 0.000, 0.500).

As for the uncorrected energy: -0.087 Ha/atom. The calculation puts the formation energy at 0.5840 eV/atom. The density of states at the Fermi level comes out at 2.80 states/eV/cell.

=====

An optimized crystal structure of Be3NbAs. Source: Alexandria, functional GGA-PBE.

It has space group Pm-3m (No. 221), with a = 4.162 Å, b = 4.162 Å, c = 4.162 Å, α = 90.00°, β = 90.00° and γ = 90.00°. The inequivalent atoms are Be at (0.000, 0.000, 0.500), Nb at (0.500, 0.500, 0.500) and As at (0.000, 0.000, 0.000).

As for the uncorrected energy: -0.154 Ha/atom. The calculation puts the formation energy at 0.9901 eV/atom. The density of states at the Fermi level comes out at 4.60 states/eV/cell.

=====

An optimized crystal structure of Be2Nb5As. Source: Alexandria, functional GGA-PBE.

It has space group I4/mcm (No. 140), with a = 6.461 Å, b = 6.461 Å, c = 11.813 Å, α = 90.00°, β = 90.00° and γ = 90.00°. The inequivalent atoms are Be at (0.120, 0.380, 0.000), Nb at (0.000, 0.000, 0.000), Nb at (0.169, 0.331, 0.358) and As at (0.000, 0.000, 0.250).

As for the uncorrected energy: -0.301 Ha/atom. The calculation puts the formation energy at -0.3926 eV/atom. The density of states at the Fermi level comes out at 22.04 states/eV/cell.

=====

An optimized crystal structure of Be2Nb2As. Source: Alexandria, functional GGA-PBE.

It has space group P4/mbm (No. 127), with a = 6.081 Å, b = 6.081 Å, c = 3.609 Å, α = 90.00°, β = 90.00° and γ = 90.00°. The inequivalent atoms are Be at (0.117, 0.383, 0.000), Nb at (0.179, 0.679, 0.500) and As at (0.000, 0.000, 0.000).

As for the uncorrected energy: -0.244 Ha/atom. The calculation puts the formation energy at -0.1788 eV/atom. The density of states at the Fermi level comes out at 6.26 states/eV/cell.

=====

An optimized crystal structure of BeNbAs3. Source: Alexandria, functional GGA-PBE.

It has space group Pm-3m (No. 221), with a = 4.451 Å, b = 4.451 Å, c = 4.451 Å, α = 90.00°, β = 90.00° and γ = 90.00°. The inequivalent atoms are Be at (0.000, 0.000, 0.000), Nb at (0.500, 0.500, 0.500) and As at (0.000, 0.000, 0.500).

As for the uncorrected energy: -0.180 Ha/atom. The calculation puts the formation energy at 0.6431 eV/atom. The density of states at the Fermi level comes out at 4.98 states/eV/cell.

=====

An optimized crystal structure of BeNb3As2. Source: Alexandria, functional GGA-PBE.

It has space group Pnma (No. 62), with a = 10.205 Å, b = 3.641 Å, c = 10.056 Å, α = 90.00°, β = 90.00° and γ = 90.00°. The inequivalent atoms are Be at (0.127, 0.250, 0.126), Nb at (0.054, 0.250, 0.375), Nb at (0.124, 0.750, 0.941), Nb at (0.219, 0.250, 0.712), As at (0.018, 0.750, 0.187) and As at (0.187, 0.750, 0.508).

As for the uncorrected energy: -0.279 Ha/atom. The calculation puts the formation energy at -0.3873 eV/atom. The density of states at the Fermi level comes out at 13.73 states/eV/cell.

=====

An optimized crystal structure of Be2NbAs. Source: Alexandria, functional GGA-PBE.

It has space group I-42d (No. 122), with a = 6.674 Å, b = 6.674 Å, c = 5.033 Å, α = 90.00°, β = 90.00° and γ = 90.00°. The inequivalent atoms are Be at (0.212, 0.750, 0.125), Nb at (0.000, 0.000, 0.500) and As at (0.000, 0.000, 0.000).

As for the uncorrected energy: -0.195 Ha/atom. The calculation puts the formation energy at 0.2373 eV/atom. The density of states at the Fermi level comes out at 8.54 states/eV/cell.